Record 1
VASP calculation (PBE-GGA) on SrTa2Mn after structural relaxation.

abc: 3.2779 3.2779 8.2213
angles: 90.00 90.00 90.00
Element x y z (fractional)
Sr  0.0000  0.0000  0.0000
Ta  0.0000  0.0000  0.5404
Ta  0.5000  0.5000  0.3399
Mn  0.5000  0.5000  0.6936

Summary:
Formation energy from the elements: 2.1 eV per formula unit
Electronic total energy: -32.5 eV per cell
Calculated volume: 22.1 A^3/atom

Record 2
VASP calculation (PBE-GGA) on SrTa2Mn after structural relaxation.

abc: 4.7060 4.7060 4.7060
angles: 60.00 60.00 60.00
Element x y z (fractional)
Sr  0.0000  0.0000  0.0000
Ta  0.2500  0.2500  0.2500
Ta  0.7500  0.7500  0.7500
Mn  0.5000  0.5000  0.5000

Summary:
Formation energy from the elements: 4.6 eV per formula unit
Electronic total energy: -30.0 eV per cell
Calculated volume: 18.4 A^3/atom

Record 3
VASP calculation (PBE-GGA) on SrTa2Mn after structural relaxation.

abc: 4.0864 4.0864 5.0913
angles: 90.00 90.00 90.00
Element x y z (fractional)
Sr  0.0000  0.0000  0.0000
Ta  0.0000  0.5000  0.5000
Ta  0.5000  0.0000  0.5000
Mn  0.5000  0.5000  0.0000

Summary:
Formation energy from the elements: 4.1 eV per formula unit
Electronic total energy: -30.5 eV per cell
Calculated volume: 21.3 A^3/atom

Record 4
VASP calculation (PBE-GGA) on SrTa2Mn after structural relaxation.

abc: 3.2729 4.7331 5.3695
angles: 90.00 90.00 90.00
Element x y z (fractional)
Sr  0.0000  0.0000  0.0000
Ta  0.0000  0.5000  0.5000
Ta  0.5000  0.0000  0.5000
Mn  0.5000  0.5000  0.0000

Summary:
Formation energy from the elements: 3.8 eV per formula unit
Electronic total energy: -30.7 eV per cell
Calculated volume: 20.8 A^3/atom

Record 5
VASP calculation (PBE-GGA) on SrTa2Mn after structural relaxation.

abc: 8.1071 8.1071 8.1071
angles: 157.24 152.26 36.18
Element x y z (fractional)
Sr  0.0000  0.0000  0.0000
Ta  0.3109  0.8109  0.5000
Ta  0.6769  0.6769  0.0000
Mn  0.7959  0.2959  0.5000

Summary:
Formation energy from the elements: 2.7 eV per formula unit
Electronic total energy: -31.8 eV per cell
Calculated volume: 24.0 A^3/atom

Record 6
VASP calculation (PBE-GGA) on SrTa2Mn after structural relaxation.

abc: 5.8581 5.8581 5.8581
angles: 139.37 139.37 58.81
Element x y z (fractional)
Sr  0.0000  0.0000  0.0000
Ta  0.2500  0.7500  0.5000
Ta  0.7500  0.2500  0.5000
Mn  0.5000  0.5000  0.0000

Summary:
Formation energy from the elements: 4.0 eV per formula unit
Electronic total energy: -30.5 eV per cell
Calculated volume: 21.1 A^3/atom